Entry 1:
# SrLi2HgAs

SrLi2HgAs after structural relaxation (PBE, Alexandria). Values from VASP.

The structure in Quantum ESPRESSO input format:
```
&SYSTEM
  ibrav = 0, nat = 5, ntyp = 4
/
ATOMIC_SPECIES
Sr 87.62 Sr.upf
Li 6.94 Li.upf
Hg 200.59 Hg.upf
As 74.92 As.upf
ATOMIC_POSITIONS crystal
Sr 0.000 0.000 0.000
Li 0.000 0.500 0.500
Li 0.500 0.000 0.500
Hg 0.500 0.500 0.000
As 0.000 0.000 0.500
CELL_PARAMETERS angstrom
4.927 0.000 0.000
0.000 4.927 0.000
0.000 0.000 6.090
```

Summary:
Its crystal system is tetragonal. The value obtained for the total moment is 0.000 μB per atom. As for the volume: 147.8 Å³/cell. As for the formation enthalpy at 0 K: -516 meV/atom.

***

Entry 2:
# Sr2LiHgAs

Sr2LiHgAs after structural relaxation (PBE, Alexandria). Values from VASP.

The structure in Quantum ESPRESSO input format:
```
&SYSTEM
  ibrav = 0, nat = 5, ntyp = 4
/
ATOMIC_SPECIES
Sr 87.62 Sr.upf
Li 6.94 Li.upf
Hg 200.59 Hg.upf
As 74.92 As.upf
ATOMIC_POSITIONS crystal
Sr 0.000 0.500 0.000
Sr 0.500 0.000 0.000
Li 0.000 0.000 0.500
Hg 0.500 0.500 0.500
As 0.000 0.000 0.000
CELL_PARAMETERS angstrom
6.023 0.000 0.000
0.000 6.023 0.000
0.000 0.000 4.811
```

Summary:
Its crystal system is tetragonal. The value obtained for the total moment is 0.002 μB per atom. As for the volume: 174.6 Å³/cell. As for the formation enthalpy at 0 K: -576 meV/atom.

***

Entry 3:
# MgHgAs2

MgHgAs2 after structural relaxation (PBE, Alexandria). Values from VASP.

The structure in Quantum ESPRESSO input format:
```
&SYSTEM
  ibrav = 0, nat = 8, ntyp = 3
/
ATOMIC_SPECIES
Mg 24.30 Mg.upf
Hg 200.59 Hg.upf
As 74.92 As.upf
ATOMIC_POSITIONS crystal
Mg 0.000 0.000 0.000
Mg 0.000 0.500 0.500
Hg 0.500 0.000 0.709
Hg 0.500 0.500 0.209
As 0.000 0.000 0.392
As 0.000 0.500 0.892
As 0.500 0.000 0.229
As 0.500 0.500 0.729
CELL_PARAMETERS angstrom
4.678 0.000 0.000
0.000 5.394 0.000
0.000 0.000 7.502
```

Summary:
Its crystal system is orthorhombic. The value obtained for the total moment is 0.000 μB per atom. As for the volume: 189.3 Å³/cell. As for the formation enthalpy at 0 K: -58 meV/atom.

***

Entry 4:
# MgHgAs2

MgHgAs2 after structural relaxation (PBE, Alexandria). Values from VASP.

The structure in Quantum ESPRESSO input format:
```
&SYSTEM
  ibrav = 0, nat = 8, ntyp = 3
/
ATOMIC_SPECIES
Mg 24.30 Mg.upf
Hg 200.59 Hg.upf
As 74.92 As.upf
ATOMIC_POSITIONS crystal
Mg 0.000 0.000 0.000
Mg 0.000 0.500 0.500
Hg 0.500 0.000 0.766
Hg 0.500 0.500 0.266
As 0.000 0.000 0.268
As 0.000 0.500 0.768
As 0.500 0.000 0.511
As 0.500 0.500 0.011
CELL_PARAMETERS angstrom
5.153 0.000 0.000
0.000 3.046 0.000
0.000 0.000 10.798
```

Summary:
Its crystal system is orthorhombic. The value obtained for the total moment is 0.000 μB per atom. As for the volume: 169.5 Å³/cell. As for the formation enthalpy at 0 K: 40 meV/atom.

***

Entry 5:
# MgHg2As

MgHg2As after structural relaxation (PBE, Alexandria). Values from VASP.

The structure in Quantum ESPRESSO input format:
```
&SYSTEM
  ibrav = 0, nat = 8, ntyp = 3
/
ATOMIC_SPECIES
Mg 24.30 Mg.upf
Hg 200.59 Hg.upf
As 74.92 As.upf
ATOMIC_POSITIONS crystal
Mg 0.000 0.000 0.000
Mg 0.500 0.500 0.500
Hg 0.000 0.000 0.500
Hg 0.000 0.500 0.250
Hg 0.500 0.000 0.750
Hg 0.500 0.500 0.000
As 0.000 0.500 0.750
As 0.500 0.000 0.250
CELL_PARAMETERS angstrom
4.413 0.000 0.000
0.000 4.413 0.000
0.000 0.000 8.993
```

Summary:
Its crystal system is tetragonal. The value obtained for the total moment is 0.000 μB per atom. As for the volume: 175.1 Å³/cell. As for the formation enthalpy at 0 K: 22 meV/atom.

***

Entry 6:
# MgHg2As

MgHg2As after structural relaxation (PBE, Alexandria). Values from VASP.

The structure in Quantum ESPRESSO input format:
```
&SYSTEM
  ibrav = 0, nat = 4, ntyp = 3
/
ATOMIC_SPECIES
Mg 24.30 Mg.upf
Hg 200.59 Hg.upf
As 74.92 As.upf
ATOMIC_POSITIONS crystal
Mg 0.000 0.000 0.000
Hg 0.000 0.500 0.500
Hg 0.500 0.000 0.500
As 0.500 0.500 0.000
CELL_PARAMETERS angstrom
4.178 0.000 0.000
0.000 4.178 0.000
0.000 0.000 5.055
```

Summary:
Its crystal system is tetragonal. The value obtained for the total moment is 0.000 μB per atom. As for the volume: 88.2 Å³/cell. As for the formation enthalpy at 0 K: -14 meV/atom.

***

> formation enthalpy at 0 K of number 1 (SrLi2HgAs)?

-516 meV/atom